Entry 1:
A relaxed structure of NpCu5Au7. Source: Alexandria, functional GGA-PBE.

Computed properties:
- raw total energy (eV/atom) = -4.42
- ΔE_f (eV per atom) = -0.09

a b c (Å): 6.964 6.964 6.964
angles (deg): 135.65 98.43 97.95
Positions (direct):
Np1 0.000 0.000 0.000
Cu1 0.500 0.493 0.504
Cu2 0.500 0.996 0.006
Cu3 0.764 0.264 0.500
Cu4 0.990 0.493 0.994
Cu5 0.990 0.996 0.496
Au1 0.192 0.490 0.702
Au2 0.221 0.721 0.500
Au3 0.340 0.999 0.341
Au4 0.342 0.342 0.000
Au5 0.658 0.999 0.659
Au6 0.665 0.665 0.000
Au7 0.787 0.490 0.298

=====

Entry 2:
A relaxed structure of AlB2S. Source: Alexandria, functional GGA-PBE.

Computed properties:
- ΔE_f (raw) (meV/atom) = 403
- raw total energy (eV/atom) = -4.90

a b c (Å): 5.639 5.639 5.639
angles (deg): 129.45 129.45 74.29
Positions (direct):
Al1 0.000 0.000 0.000
Al2 0.750 0.250 0.500
B1 0.167 0.625 0.042
B2 0.375 0.417 0.542
B3 0.583 0.125 0.958
B4 0.875 0.833 0.458
S1 0.250 0.750 0.500
S2 0.500 0.500 0.000